{
  "formula": "NdInPt4",
  "functional": "PBEsol",
  "state": "optimized geometry",
  "lattice": [[0.000, 3.796, 3.796], [3.796, 0.000, 3.796], [3.796, 3.796, 0.000]],
  "species": ["Nd", "In", "Pt", "Pt", "Pt", "Pt"],
  "frac_coords": [[0.000, 0.000, 0.000], [0.750, 0.750, 0.750], [0.376, 0.376, 0.376], [0.376, 0.376, 0.873], [0.376, 0.873, 0.376], [0.873, 0.376, 0.376]],
  "dft_energy_ev_per_atom": -6.794,
  "dos_ef_per_ev_cell": 3.2,
  "formation_enthalpy_0k_ev_per_fu": -4.8
}

{
  "formula": "Nd12InPt7",
  "functional": "PBEsol",
  "state": "optimized geometry",
  "lattice": [[-5.946, 5.946, 7.199], [5.946, -5.946, 7.199], [5.946, 5.946, -7.199]],
  "species": ["Nd", "Nd", "Nd", "Nd", "Nd", "Nd", "Nd", "Nd", "Nd", "Nd", "Nd", "Nd", "Nd", "Nd", "Nd", "Nd", "Nd", "Nd", "Nd", "Nd", "Nd", "Nd", "Nd", "Nd", "In", "In", "Pt", "Pt", "Pt", "Pt", "Pt", "Pt", "Pt", "Pt", "Pt", "Pt", "Pt", "Pt", "Pt", "Pt"],
  "frac_coords": [[0.065, 0.929, 0.279], [0.071, 0.351, 0.137], [0.137, 0.637, 0.500], [0.149, 0.429, 0.863], [0.176, 0.324, 0.500], [0.214, 0.935, 0.863], [0.286, 0.149, 0.721], [0.324, 0.824, 0.147], [0.351, 0.214, 0.279], [0.363, 0.863, 0.500], [0.429, 0.565, 0.279], [0.435, 0.714, 0.863], [0.565, 0.286, 0.137], [0.571, 0.435, 0.721], [0.637, 0.137, 0.500], [0.649, 0.786, 0.721], [0.676, 0.176, 0.853], [0.714, 0.851, 0.279], [0.786, 0.065, 0.137], [0.824, 0.676, 0.500], [0.851, 0.571, 0.137], [0.863, 0.363, 0.500], [0.929, 0.649, 0.863], [0.935, 0.071, 0.721], [0.000, 0.000, 0.000], [0.500, 0.500, 0.000], [0.020, 0.871, 0.500], [0.125, 0.625, 0.751], [0.129, 0.629, 0.150], [0.250, 0.250, 0.000], [0.371, 0.520, 0.500], [0.375, 0.125, 0.500], [0.480, 0.980, 0.850], [0.520, 0.020, 0.150], [0.625, 0.875, 0.500], [0.629, 0.480, 0.500], [0.750, 0.750, 0.000], [0.871, 0.371, 0.850], [0.875, 0.375, 0.249], [0.980, 0.129, 0.500]],
  "dft_energy_ev_per_atom": -6.544,
  "dos_ef_per_ev_cell": 33.0,
  "formation_enthalpy_0k_ev_per_fu": -17.2
}

{
  "formula": "NdInRh2",
  "functional": "PBEsol",
  "state": "optimized geometry",
  "lattice": [[0.000, 3.329, 3.329], [3.329, 0.000, 3.329], [3.329, 3.329, 0.000]],
  "species": ["Nd", "In", "Rh", "Rh"],
  "frac_coords": [[0.000, 0.000, 0.000], [0.500, 0.500, 0.500], [0.250, 0.250, 0.250], [0.750, 0.750, 0.750]],
  "dft_energy_ev_per_atom": -6.684,
  "dos_ef_per_ev_cell": 1.1,
  "formation_enthalpy_0k_ev_per_fu": -2.3
}

{
  "formula": "Nd2InRh2",
  "functional": "PBEsol",
  "state": "optimized geometry",
  "lattice": [[7.448, 0.000, 0.000], [0.000, 7.448, 0.000], [0.000, 0.000, 3.925]],
  "species": ["Nd", "Nd", "Nd", "Nd", "In", "In", "Rh", "Rh", "Rh", "Rh"],
  "frac_coords": [[0.172, 0.328, 0.000], [0.328, 0.828, 0.000], [0.672, 0.172, 0.000], [0.828, 0.672, 0.000], [0.000, 0.000, 0.500], [0.500, 0.500, 0.500], [0.131, 0.631, 0.500], [0.369, 0.131, 0.500], [0.631, 0.869, 0.500], [0.869, 0.369, 0.500]],
  "dft_energy_ev_per_atom": -6.561,
  "dos_ef_per_ev_cell": 7.0,
  "formation_enthalpy_0k_ev_per_fu": -3.2
}

{
  "formula": "Nd3InS6",
  "functional": "PBEsol",
  "state": "optimized geometry",
  "lattice": [[13.653, 0.000, 0.000], [0.000, 16.583, 0.000], [0.000, 0.000, 3.926]],
  "species": ["Nd", "Nd", "Nd", "Nd", "Nd", "Nd", "Nd", "Nd", "Nd", "Nd", "Nd", "Nd", "In", "In", "In", "In", "S", "S", "S", "S", "S", "S", "S", "S", "S", "S", "S", "S", "S", "S", "S", "S", "S", "S", "S", "S", "S", "S", "S", "S"],
  "frac_coords": [[0.042, 0.223, 0.250], [0.187, 0.646, 0.250], [0.248, 0.895, 0.749], [0.252, 0.395, 0.251], [0.313, 0.146, 0.750], [0.458, 0.723, 0.750], [0.542, 0.277, 0.750], [0.687, 0.854, 0.750], [0.748, 0.605, 0.251], [0.752, 0.105, 0.749], [0.813, 0.354, 0.250], [0.958, 0.777, 0.250], [0.000, 0.000, 0.747], [0.000, 0.500, 0.751], [0.500, 0.000, 0.249], [0.500, 0.500, 0.253], [0.023, 0.397, 0.251], [0.093, 0.916, 0.249], [0.110, 0.749, 0.750], [0.113, 0.114, 0.750], [0.182, 0.286, 0.750], [0.190, 0.520, 0.750], [0.310, 0.020, 0.250], [0.318, 0.786, 0.250], [0.387, 0.614, 0.250], [0.390, 0.249, 0.250], [0.407, 0.416, 0.751], [0.477, 0.897, 0.749], [0.523, 0.103, 0.749], [0.593, 0.584, 0.751], [0.610, 0.751, 0.250], [0.613, 0.386, 0.250], [0.682, 0.214, 0.250], [0.690, 0.980, 0.250], [0.810, 0.480, 0.750], [0.818, 0.714, 0.750], [0.887, 0.886, 0.750], [0.890, 0.251, 0.750], [0.907, 0.084, 0.249], [0.977, 0.603, 0.251]],
  "dft_energy_ev_per_atom": -6.232
}

{
  "formula": "Nd4In5S13",
  "functional": "PBEsol",
  "state": "optimized geometry",
  "lattice": [[11.839, 0.000, 0.000], [0.000, 21.274, 0.000], [0.000, 0.000, 3.911]],
  "species": ["Nd", "Nd", "Nd", "Nd", "Nd", "Nd", "Nd", "Nd", "In", "In", "In", "In", "In", "In", "In", "In", "In", "In", "S", "S", "S", "S", "S", "S", "S", "S", "S", "S", "S", "S", "S", "S", "S", "S", "S", "S", "S", "S", "S", "S", "S", "S", "S", "S"],
  "frac_coords": [[0.018, 0.168, 0.000], [0.169, 0.342, 0.000], [0.331, 0.842, 0.000], [0.482, 0.668, 0.000], [0.518, 0.332, 0.000], [0.669, 0.158, 0.000], [0.831, 0.658, 0.000], [0.982, 0.832, 0.000], [0.000, 0.500, 0.000], [0.152, 0.670, 0.500], [0.155, 0.992, 0.500], [0.345, 0.492, 0.500], [0.348, 0.170, 0.500], [0.500, 0.000, 0.000], [0.652, 0.830, 0.500], [0.655, 0.508, 0.500], [0.845, 0.008, 0.500], [0.848, 0.330, 0.500], [0.000, 0.000, 0.000], [0.004, 0.409, 0.500], [0.078, 0.261, 0.500], [0.152, 0.867, 0.500], [0.163, 0.113, 0.500], [0.169, 0.740, 0.000], [0.204, 0.478, 0.000], [0.296, 0.978, 0.000], [0.331, 0.240, 0.000], [0.337, 0.613, 0.500], [0.348, 0.367, 0.500], [0.422, 0.761, 0.500], [0.496, 0.909, 0.500], [0.500, 0.500, 0.000], [0.504, 0.091, 0.500], [0.578, 0.239, 0.500], [0.652, 0.633, 0.500], [0.663, 0.387, 0.500], [0.669, 0.760, 0.000], [0.704, 0.022, 0.000], [0.796, 0.522, 0.000], [0.831, 0.260, 0.000], [0.837, 0.887, 0.500], [0.848, 0.133, 0.500], [0.922, 0.739, 0.500], [0.996, 0.591, 0.500]],
  "dft_energy_ev_per_atom": -5.473,
  "dos_ef_per_ev_cell": 6.9
}

{
  "formula": "Nd6TiInS12",
  "functional": "PBEsol",
  "state": "optimized geometry",
  "lattice": [[13.666, 0.000, 0.000], [0.000, 16.140, 0.000], [0.000, 0.000, 3.876]],
  "species": ["Nd", "Nd", "Nd", "Nd", "Nd", "Nd", "Nd", "Nd", "Nd", "Nd", "Nd", "Nd", "Ti", "Ti", "In", "In", "S", "S", "S", "S", "S", "S", "S", "S", "S", "S", "S", "S", "S", "S", "S", "S", "S", "S", "S", "S", "S", "S", "S", "S"],
  "frac_coords": [[0.050, 0.216, 0.000], [0.182, 0.651, 0.000], [0.240, 0.901, 0.500], [0.260, 0.401, 0.000], [0.318, 0.151, 0.500], [0.450, 0.716, 0.500], [0.550, 0.284, 0.500], [0.682, 0.849, 0.500], [0.740, 0.599, 0.000], [0.760, 0.099, 0.500], [0.818, 0.349, 0.000], [0.950, 0.784, 0.000], [0.000, 0.000, 0.500], [0.500, 0.500, 0.000], [0.000, 0.500, 0.500], [0.500, 0.000, 0.000], [0.025, 0.394, 0.000], [0.083, 0.927, 0.000], [0.102, 0.757, 0.500], [0.123, 0.101, 0.500], [0.186, 0.287, 0.500], [0.190, 0.522, 0.500], [0.310, 0.022, 0.000], [0.314, 0.787, 0.000], [0.377, 0.601, 0.000], [0.398, 0.257, 0.000], [0.417, 0.427, 0.500], [0.475, 0.894, 0.500], [0.525, 0.106, 0.500], [0.583, 0.573, 0.500], [0.602, 0.743, 0.000], [0.623, 0.399, 0.000], [0.686, 0.213, 0.000], [0.690, 0.978, 0.000], [0.810, 0.478, 0.500], [0.814, 0.713, 0.500], [0.877, 0.899, 0.500], [0.898, 0.243, 0.500], [0.917, 0.073, 0.000], [0.975, 0.606, 0.000]],
  "dft_energy_ev_per_atom": -6.604,
  "dos_ef_per_ev_cell": 5.0
}

{
  "formula": "Nd2In3Sn3",
  "functional": "PBEsol",
  "state": "optimized geometry",
  "lattice": [[4.657, 0.000, 0.000], [0.000, 4.748, 0.000], [0.000, 0.000, 9.156]],
  "species": ["Nd", "Nd", "In", "In", "In", "Sn", "Sn", "Sn"],
  "frac_coords": [[0.000, 0.000, 0.248], [0.000, 0.000, 0.752], [0.000, 0.500, 0.500], [0.500, 0.500, 0.253], [0.500, 0.500, 0.747], [0.000, 0.500, 0.000], [0.500, 0.000, 0.000], [0.500, 0.000, 0.500]],
  "dft_energy_ev_per_atom": -4.570,
  "dos_ef_per_ev_cell": 3.3,
  "formation_enthalpy_0k_ev_per_fu": -4.5
}

{
  "formula": "NdTl2InTe4",
  "functional": "PBEsol",
  "state": "optimized geometry",
  "lattice": [[-4.054, 4.054, 3.794], [4.054, -4.054, 3.794], [4.054, 4.054, -3.794]],
  "species": ["Nd", "Tl", "Tl", "In", "Te", "Te", "Te", "Te"],
  "frac_coords": [[0.000, 0.000, 0.000], [0.000, 0.500, 0.500], [0.500, 0.000, 0.500], [0.500, 0.500, 0.000], [0.080, 0.476, 0.000], [0.476, 0.080, 0.000], [0.524, 0.524, 0.604], [0.920, 0.920, 0.396]],
  "dft_energy_ev_per_atom": -4.041
}

{
  "formula": "Nd2TlIn",
  "functional": "PBEsol",
  "state": "optimized geometry",
  "lattice": [[0.000, 3.824, 3.824], [3.824, 0.000, 3.824], [3.824, 3.824, 0.000]],
  "species": ["Nd", "Nd", "Tl", "In"],
  "frac_coords": [[0.250, 0.250, 0.250], [0.750, 0.750, 0.750], [0.000, 0.000, 0.000], [0.500, 0.500, 0.500]],
  "dft_energy_ev_per_atom": -4.481,
  "dos_ef_per_ev_cell": 2.4,
  "formation_enthalpy_0k_ev_per_fu": -2.0
}

{
  "formula": "NdTmIn2",
  "functional": "PBEsol",
  "state": "optimized geometry",
  "lattice": [[0.000, 3.729, 3.729], [3.729, 0.000, 3.729], [3.729, 3.729, 0.000]],
  "species": ["Nd", "Tm", "In", "In"],
  "frac_coords": [[0.000, 0.000, 0.000], [0.500, 0.500, 0.500], [0.250, 0.250, 0.250], [0.750, 0.750, 0.750]],
  "dft_energy_ev_per_atom": -4.512,
  "dos_ef_per_ev_cell": 2.2,
  "formation_enthalpy_0k_ev_per_fu": -2.0
}

{
  "formula": "NdYIn2",
  "functional": "PBEsol",
  "state": "optimized geometry",
  "lattice": [[0.000, 3.753, 3.753], [3.753, 0.000, 3.753], [3.753, 3.753, 0.000]],
  "species": ["Nd", "Y", "In", "In"],
  "frac_coords": [[0.000, 0.000, 0.000], [0.500, 0.500, 0.500], [0.250, 0.250, 0.250], [0.750, 0.750, 0.750]],
  "dft_energy_ev_per_atom": -5.036,
  "dos_ef_per_ev_cell": 1.9,
  "formation_enthalpy_0k_ev_per_fu": -2.2
}